# 1
Here is NdHo8Ni2 after structural relaxation from the Alexandria database. Energies are from PBE-GGA.

Lattice parameters (Å, degrees): 3.624 8.612 11.513 117.60 99.05 90.00
Fractional coordinates of all 11 atoms:
Ho: 0.394 0.219 0.788
Ho: 0.606 0.781 0.212
Ho: 0.955 0.611 0.911
Ho: 0.324 0.596 0.649
Ho: 0.045 0.389 0.089
Ho: 0.232 0.144 0.464
Ho: 0.768 0.856 0.536
Ho: 0.676 0.404 0.351
Nd: 0.500 0.000 0.000
Ni: 0.827 0.340 0.654
Ni: 0.173 0.660 0.346

Values from the calculation:
- energy relative to the elements (meV/atom) = -81
- M_tot (μB/f.u.) = 0.077

=====

# 2
Here is Ac2Ga12Ag after structural relaxation from the Alexandria database. Energies are from PBE-GGA.

Lattice parameters (Å, degrees): 6.409 6.409 15.664 90.00 90.00 90.00
Fractional coordinates of all 30 atoms:
Ga: 0.500 0.500 0.820
Ga: 0.000 0.000 0.656
Ga: 0.822 0.322 0.569
Ga: 0.500 0.500 0.344
Ga: 0.250 0.250 0.911
Ga: 0.000 0.000 0.180
Ga: 0.500 0.500 0.656
Ga: 0.178 0.322 0.431
Ga: 0.750 0.250 0.911
Ga: 0.322 0.822 0.431
Ga: 0.822 0.678 0.431
Ga: 0.322 0.178 0.569
Ga: 0.678 0.178 0.431
Ga: 0.750 0.250 0.089
Ga: 0.000 0.000 0.344
Ga: 0.750 0.750 0.911
Ga: 0.500 0.500 0.180
Ga: 0.000 0.000 0.820
Ga: 0.750 0.750 0.089
Ga: 0.250 0.750 0.089
Ga: 0.250 0.250 0.089
Ga: 0.678 0.822 0.569
Ga: 0.250 0.750 0.911
Ga: 0.178 0.678 0.569
Ac: 0.000 0.500 0.247
Ac: 0.500 0.000 0.753
Ac: 0.000 0.500 0.753
Ac: 0.500 0.000 0.247
Ag: 0.000 0.500 0.000
Ag: 0.500 0.000 0.000

Values from the calculation:
- energy relative to the elements (meV/atom) = -326
- M_tot (μB/f.u.) = 0.000

=====

# 3
Here is Tb6SbRu2 after structural relaxation from the Alexandria database. Energies are from PBE-GGA.

Lattice parameters (Å, degrees): 8.527 8.527 8.527 104.65 112.64 111.24
Fractional coordinates of all 18 atoms:
Tb: 0.314 0.331 0.644
Tb: 0.686 0.669 0.356
Tb: 0.207 0.968 0.761
Tb: 0.104 0.819 0.285
Tb: 0.534 0.819 0.715
Tb: 0.207 0.446 0.239
Tb: 0.793 0.032 0.239
Tb: 0.896 0.181 0.715
Tb: 0.466 0.181 0.285
Tb: 0.314 0.669 0.983
Tb: 0.793 0.554 0.761
Tb: 0.686 0.331 0.017
Ru: 0.500 0.872 0.372
Ru: 0.673 0.673 0.000
Ru: 0.500 0.128 0.628
Ru: 0.327 0.327 0.000
Sb: 0.000 0.500 0.500
Sb: 0.000 0.000 0.000

Values from the calculation:
- energy relative to the elements, uncorrected (eV/atom) = -0.475
- M_tot (μB/f.u.) = 0.000

=====

# 4
Here is PrThCo3 after structural relaxation from the Alexandria database. Energies are from PBE-GGA.

Lattice parameters (Å, degrees): 3.984 3.975 12.721 98.98 90.00 90.00
Fractional coordinates of all 10 atoms:
Co: 0.750 0.341 0.681
Co: 0.250 0.386 0.772
Co: 0.250 0.477 0.955
Co: 0.750 0.614 0.228
Co: 0.750 0.523 0.045
Co: 0.250 0.659 0.319
Th: 0.750 0.932 0.864
Th: 0.250 0.068 0.136
Pr: 0.250 0.800 0.600
Pr: 0.750 0.200 0.400

Values from the calculation:
- energy relative to the elements (meV/atom) = -150
- M_tot (μB/f.u.) = 0.926

=====

# 5
Here is YMg2Sc after structural relaxation from the Alexandria database. Energies are from PBE-GGA.

Lattice parameters (Å, degrees): 5.783 5.783 5.783 132.51 132.51 69.43
Fractional coordinates of all 4 atoms:
Y: 0.750 0.250 0.500
Mg: 0.000 0.000 0.000
Mg: 0.250 0.750 0.500
Sc: 0.500 0.500 0.000

Values from the calculation:
- energy relative to the elements (meV/atom) = 46
- M_tot (μB/f.u.) = 0.001
- E above lowest polymorph (eV per formula unit) = 0.46

=====

# 6
Here is Sc2Ti2Br after structural relaxation from the Alexandria database. Energies are from PBE-GGA.

Lattice parameters (Å, degrees): 6.717 6.717 4.719 90.00 90.00 90.00
Fractional coordinates of all 10 atoms:
Br: 0.500 0.500 0.000
Br: 0.000 0.000 0.000
Sc: 0.651 0.849 0.500
Sc: 0.151 0.651 0.500
Sc: 0.349 0.151 0.500
Sc: 0.849 0.349 0.500
Ti: 0.358 0.858 0.000
Ti: 0.858 0.642 0.000
Ti: 0.642 0.142 0.000
Ti: 0.142 0.358 0.000

Values from the calculation:
- energy relative to the elements, uncorrected (eV/atom) = 0.097
- M_tot (μB/f.u.) = 0.000
- E above lowest polymorph (eV per formula unit) = 0.00

=====

# 7
Here is YCrI2N after structural relaxation from the Alexandria database. Energies are from PBE-GGA.

Lattice parameters (Å, degrees): 5.718 5.718 3.659 90.00 90.00 90.00
Fractional coordinates of all 5 atoms:
I: 0.500 0.000 0.000
I: 0.000 0.500 0.000
Y: 0.500 0.500 0.500
N: 0.000 0.000 0.500
Cr: 0.000 0.000 0.000

Values from the calculation:
- energy relative to the elements, uncorrected (eV/atom) = -0.138
- M_tot (μB/f.u.) = 2.485
- E above lowest polymorph (eV per formula unit) = 0.00

=====

# 8
Here is Na3Pr3PdO8 after structural relaxation from the Alexandria database. Energies are from PBE-GGA.

Lattice parameters (Å, degrees): 7.034 7.034 6.887 120.72 90.00 120.00
Fractional coordinates of all 15 atoms:
O: 0.785 0.011 0.295
O: 0.215 0.989 0.705
O: 0.774 0.989 0.705
O: 0.226 0.011 0.295
O: 0.785 0.569 0.295
O: 0.739 0.479 0.718
O: 0.261 0.521 0.282
O: 0.215 0.431 0.705
Na: 0.000 0.500 0.000
Na: 0.000 0.000 0.000
Na: 0.500 0.500 0.000
Pr: 0.500 0.000 0.500
Pr: 0.500 0.500 0.500
Pr: 0.000 0.500 0.500
Pd: 0.000 0.000 0.500

Values from the calculation:
- energy relative to the elements, uncorrected (eV/atom) = -2.119
- M_tot (μB/f.u.) = 0.000

=====

# 9
Here is Ti2HgHF after structural relaxation from the Alexandria database. Energies are from PBE-GGA.

Lattice parameters (Å, degrees): 4.107 5.343 4.107 90.00 90.00 90.00
Fractional coordinates of all 5 atoms:
Ti: 0.500 0.000 0.000
Ti: 0.000 0.000 0.500
H: 0.500 0.500 0.500
F: 0.000 0.000 0.000
Hg: 0.000 0.500 0.000

Values from the calculation:
- M_tot (μB/f.u.) = 3.190
- DFT total energy (eV per atom) = -4.075

=====

# 10
Here is La6TbPr2Mg after structural relaxation from the Alexandria database. Energies are from PBE-GGA.

Lattice parameters (Å, degrees): 9.551 8.774 8.774 104.64 95.13 95.13
Fractional coordinates of all 20 atoms:
Pr: 0.908 0.735 0.800
Pr: 0.408 0.800 0.735
Pr: 0.592 0.200 0.265
Pr: 0.092 0.265 0.200
La: 0.325 0.033 0.459
La: 0.825 0.459 0.033
La: 0.099 0.678 0.433
La: 0.675 0.967 0.541
La: 0.401 0.567 0.322
La: 0.175 0.541 0.967
La: 0.082 0.080 0.744
La: 0.582 0.744 0.080
La: 0.418 0.256 0.920
La: 0.901 0.322 0.567
La: 0.599 0.433 0.678
La: 0.918 0.920 0.256
Tb: 0.750 0.071 0.929
Tb: 0.250 0.929 0.071
Mg: 0.250 0.404 0.596
Mg: 0.750 0.596 0.404

Values from the calculation:
- energy relative to the elements (meV/atom) = 84
- M_tot (μB/f.u.) = 0.000

=====

# 11
Here is Ba2TaAu after structural relaxation from the Alexandria database. Energies are from PBE-GGA.

Lattice parameters (Å, degrees): 7.059 7.059 5.682 66.29 66.29 30.78
Fractional coordinates of all 4 atoms:
Au: 0.205 0.205 0.295
Ba: 0.973 0.973 0.027
Ba: 0.768 0.768 0.732
Ta: 0.555 0.555 0.445

Values from the calculation:
- energy relative to the elements (meV/atom) = 411
- M_tot (μB/f.u.) = 0.697
- E above lowest polymorph (eV per formula unit) = 0.80

=====

# 12
Here is PaSi2Ge after structural relaxation from the Alexandria database. Energies are from PBE-GGA.

Lattice parameters (Å, degrees): 4.141 4.184 4.184 90.00 90.00 90.00
Fractional coordinates of all 4 atoms:
Si: 0.000 0.000 0.500
Si: 0.000 0.500 0.000
Pa: 0.500 0.500 0.500
Ge: 0.500 0.000 0.000

Values from the calculation:
- energy relative to the elements, uncorrected (eV/atom) = -0.413
- M_tot (μB/f.u.) = 0.000
- E above lowest polymorph (eV per formula unit) = 0.00